# LaY

Crystalline LaY at its relaxed geometry (GGA-PBE, Alexandria via LeMat-Bulk).

```
LaY
1.0
-6.4062 6.4062 1.7273
6.4062 -6.4062 1.7273
6.4062 6.4062 -1.7273
La Y
4 4
direct
0.1007 0.8328 0.9334
0.1672 0.1007 0.2679
0.8328 0.8993 0.7321
0.8993 0.1672 0.0666
0.0851 0.3561 0.4412
0.3561 0.9149 0.2710
0.6439 0.0851 0.7290
0.9149 0.6439 0.5588
```

Properties
Space group = I4/m (87)
Formation enthalpy at 0 K = 0.232 eV/atom
Crystal system = tetragonal

=====

# CuSbF3

Crystalline CuSbF3 at its relaxed geometry (GGA-PBE, Alexandria via LeMat-Bulk).

```
CuSbF3
1.0
4.4720 0.0000 0.0000
0.0000 4.4720 0.0000
0.0000 0.0000 4.4720
Cu Sb F
1 1 3
direct
0.0000 0.0000 0.0000
0.5000 0.5000 0.5000
0.0000 0.5000 0.5000
0.5000 0.0000 0.5000
0.5000 0.5000 0.0000
```

Properties
Space group = Pm-3m (221)
Crystal system = cubic
Uncorrected formation energy = -1.154 eV/atom

=====

# TaCdIr

Crystalline TaCdIr at its relaxed geometry (GGA-PBE, Alexandria via LeMat-Bulk).

```
TaCdIr
1.0
5.4652 -1.4857 0.0000
5.4652 1.4857 0.0000
-1.8823 0.0000 6.6215
Ta Cd Ir
2 2 2
direct
0.0000 0.0000 0.0000
0.7107 0.7107 0.9155
0.3789 0.3789 0.2979
0.6585 0.6585 0.3724
0.0422 0.0422 0.6508
0.3311 0.3311 0.7033
```

Properties
Space group = Cm (8)
Formation enthalpy at 0 K = -0.043 eV/atom
Crystal system = monoclinic